{
  "formula": "NaBe2ZnRu",
  "functional": "meta-GGA SCAN",
  "state": "single point on PBEsol structure",
  "lattice": [[-3.970, -0.914, -0.404], [0.543, -3.364, 2.270], [-0.915, 2.343, 3.691]],
  "species": ["Ru", "Zn", "Na", "Be", "Be"],
  "frac_coords": [[0.500, 0.500, 0.500], [0.000, 0.000, 0.000], [0.000, 0.000, 0.500], [0.000, 0.500, 0.000], [0.500, 0.000, 0.000]],
  "final_energy_ev_per_cell": -55.35,
  "space_group": "P4/mmm (123)",
  "formation_energy_ev_per_fu": 5.92,
  "total_magnetization_mub_per_atom": 0.27
}